(1)
This record from Alexandria via LeMat-Bulk describes a geometry-optimized MgIn8Ga2 structure. The functional is GGA-PBE.

Values from the calculation:
**Formation energy from the elements**: 37 meV/atom
**D(E_F)**: 9.6 states/eV/cell

Geometry as CIF:
```
data_MgIn8Ga2
_chemical_formula_sum 'Mg2 In16 Ga4'
_space_group_name_H-M_alt 'C m m m'
_space_group_IT_number 65
_space_group_name_Hall '-C 2 2'
_cell_length_a 9.537
_cell_length_b 13.399
_cell_length_c 4.433
_cell_angle_alpha 90.00
_cell_angle_beta 90.00
_cell_angle_gamma 90.00
loop_
_atom_site_label
_atom_site_fract_x
_atom_site_fract_y
_atom_site_fract_z
_atom_site_occupancy
Mg1 0.000 0.000 0.000 1
In1 0.000 0.250 0.000 1
In2 0.174 0.500 0.000 1
In3 0.182 0.139 0.500 1
Ga1 0.000 0.392 0.500 1
```



(2)
This record from Alexandria via LeMat-Bulk describes a geometry-optimized Mg6InGa12 structure. The functional is GGA-PBE.

Values from the calculation:
**Formation energy from the elements**: -44 meV/atom
**D(E_F)**: 23.3 states/eV/cell

Geometry as CIF:
```
data_Mg6InGa12
_chemical_formula_sum 'Mg18 In3 Ga36'
_space_group_name_H-M_alt 'R -3'
_space_group_IT_number 148
_space_group_name_Hall '-R 3'
_cell_length_a 11.8793
_cell_length_b 11.8793
_cell_length_c 9.5238
_cell_angle_alpha 90.00
_cell_angle_beta 90.00
_cell_angle_gamma 120.00
loop_
_atom_site_label
_atom_site_fract_x
_atom_site_fract_y
_atom_site_fract_z
_atom_site_occupancy
Mg1 0.0509 0.4637 0.2651 1
In1 0.0000 0.0000 0.5000 1
Ga1 0.0526 0.1715 0.8898 1
Ga2 0.0599 0.2238 0.2881 1
```



(3)
This record from Alexandria via LeMat-Bulk describes a geometry-optimized Mg5In4Ga2 structure. The functional is GGA-PBE.

Values from the calculation:
**Formation energy from the elements**: -84 meV/atom
**D(E_F)**: 6.6 states/eV/cell

Geometry as CIF:
```
data_Mg5In4Ga2
_chemical_formula_sum 'Mg10 In8 Ga4'
_space_group_name_H-M_alt 'P b a m'
_space_group_IT_number 55
_cell_length_a 7.076
_cell_length_b 16.232
_cell_length_c 4.319
_cell_angle_alpha 90.00
_cell_angle_beta 90.00
_cell_angle_gamma 90.00
loop_
_space_group_symop_operation_xyz
'x,y,z'
'-x,-y,-z'
'-x,-y,z'
'x,y,-z'
'x+1/2,-y+1/2,-z'
'-x+1/2,y+1/2,z'
'-x+1/2,y+1/2,-z'
'x+1/2,-y+1/2,z'
loop_
_atom_site_label
_atom_site_fract_x
_atom_site_fract_y
_atom_site_fract_z
_atom_site_occupancy
Mg1 0.000 0.000 0.000 1
Mg2 0.102 0.412 0.000 1
Mg3 0.225 0.211 0.000 1
In1 0.095 0.865 0.500 1
In2 0.202 0.550 0.500 1
Ga1 0.021 0.300 0.500 1
```



(4)
This record from Alexandria via LeMat-Bulk describes a geometry-optimized Mg3In5Ga3 structure. The functional is GGA-PBE.

Values from the calculation:
**Formation energy from the elements**: 17 meV/atom
**D(E_F)**: 4.9 states/eV/cell

Geometry as CIF:
```
data_Mg3In5Ga3
_chemical_formula_sum 'Mg3 In5 Ga3'
_space_group_name_H-M_alt 'P -6 2 m'
_space_group_IT_number 189
_space_group_name_Hall 'P -6 -2'
_cell_length_a 9.6731
_cell_length_b 9.6731
_cell_length_c 3.2531
_cell_angle_alpha 90.00
_cell_angle_beta 90.00
_cell_angle_gamma 120.00
loop_
_atom_site_label
_atom_site_fract_x
_atom_site_fract_y
_atom_site_fract_z
_atom_site_occupancy
Mg1 0.0000 0.6094 0.0000 1
In1 0.0000 0.3420 0.5000 1
In2 0.3333 0.6667 0.5000 1
Ga1 0.0000 0.8420 0.5000 1
```